# 1
A relaxed structure of RbFeCl3, computed with PBE.

- space-group type = Pm, No. 6
- total moment (μB/cell) = 4.000
- total DFT energy (no corrections) (eV per formula unit) = -20.9

a b c (Å): 4.9812 4.9829 4.9806
angles (deg): 90.00 90.00 89.99
With the nearest neighbours (Å) after each atom.
Fractional coordinates of all 5 atoms:
Fe (0.4984, 0.4873, 0.5000)  6 Cl 2.49
Rb (0.9981, 0.9884, 0.0000)  12 Cl 3.52-3.53
Cl (0.4977, 0.4882, 0.0000)  2 Fe 2.49
Cl (0.4979, 0.9879, 0.5000)  2 Fe 2.49
Cl (0.9979, 0.4882, 0.4999)  2 Fe 2.49


# 2
A relaxed structure of CaPr2, computed with PBE.

- space-group type = I4/mmm, No. 139
- distance to the lowest polymorph of the same formula (meV per atom) = 0
- total moment (μB/cell) = 0.000
- formation energy from the elements (eV/atom) = 0.02

a b c (Å): 3.7738 3.7738 8.4114
angles (deg): 102.96 102.96 90.00
With the nearest neighbours (Å) after each atom.
Fractional coordinates of all 3 atoms:
Pr (0.6741, 0.6741, 0.3482)  8 Pr 3.60-3.77, 4 Ca 3.85
Pr (0.3259, 0.3259, 0.6518)  8 Pr 3.60-3.77, 4 Ca 3.85
Ca (0.0000, 0.0000, 0.0000)  4 Ca 3.77, 8 Pr 3.85


# 3
A relaxed structure of ZnSb2Br2, computed with PBE.

- space-group type = I4/mmm, No. 139
- distance to the lowest polymorph of the same formula (meV per atom) = 477
- total moment (μB/cell) = 0.000

a b c (Å): 5.1177 5.1177 7.2591
angles (deg): 69.36 69.36 90.00
With the nearest neighbours (Å) after each atom.
Fractional coordinates of all 5 atoms:
Sb (0.3918, 0.3918, 0.2164)  1 Sb 2.72
Sb (0.6082, 0.6082, 0.7836)  1 Sb 2.72
Zn (0.0000, 0.0000, 0.0000)  8 Sb 3.87, 8 Br 4.06
Br (0.7500, 0.2500, 0.5000)  4 Sb 3.12
Br (0.2500, 0.7500, 0.5000)  4 Sb 3.12


# 4
A relaxed structure of Pm8Sc2Tl, computed with PBE.

- space-group type = C2/m, No. 12
- total moment (μB/cell) = 0.000
- formation energy from the elements (eV/atom) = -0.03

a b c (Å): 4.9813 7.9769 9.3268
angles (deg): 105.50 105.49 90.00
With the nearest neighbours (Å) after each atom.
Fractional coordinates of all 11 atoms:
Pm (0.4057, 0.5531, 0.8114)  3 Sc 3.46-3.47, 8 Pm 3.47-3.72, 1 Tl 3.50
Pm (0.6810, 0.9108, 0.3619)  8 Pm 3.49-3.59, 1 Tl 3.52, 3 Sc 3.58
Pm (0.8611, 0.8127, 0.7222)  3 Sc 3.45-3.51, 7 Pm 3.47-3.60, 2 Tl 3.55
Pm (0.9528, 0.2745, 0.9056)  1 Sc 3.49, 9 Pm 3.49-3.60, 2 Tl 3.57
Pm (0.1389, 0.1873, 0.2778)  3 Sc 3.45-3.51, 7 Pm 3.47-3.60, 2 Tl 3.55
Pm (0.3190, 0.0892, 0.6381)  8 Pm 3.49-3.59, 1 Tl 3.52, 3 Sc 3.58
Pm (0.5943, 0.4469, 0.1886)  3 Sc 3.46-3.47, 8 Pm 3.47-3.72, 1 Tl 3.50
Pm (0.0472, 0.7255, 0.0944)  1 Sc 3.49, 9 Pm 3.49-3.60, 2 Tl 3.57
Sc (0.7747, 0.3692, 0.5494)  10 Pm 3.45-3.58, 2 Sc 3.52
Sc (0.2253, 0.6308, 0.4506)  10 Pm 3.45-3.58, 2 Sc 3.52
Tl (0.5000, 0.0000, 0.0000)  12 Pm 3.50-3.57


# 5
A relaxed structure of Ca2V2Mo, computed with PBE.

- space-group type = I4/mmm, No. 139
- distance to the lowest polymorph of the same formula (meV per atom) = 492
- total moment (μB/cell) = 0.002
- formation energy from the elements (eV/atom) = 1.13

a b c (Å): 3.9226 3.9226 7.1605
angles (deg): 74.10 74.10 90.00
With the nearest neighbours (Å) after each atom.
Fractional coordinates of all 5 atoms:
Mo (0.0000, 0.0000, 0.0000)  8 V 2.93
Ca (0.7500, 0.2500, 0.5000)  4 Ca 2.77, 4 V 3.06
Ca (0.2500, 0.7500, 0.5000)  4 Ca 2.77, 4 V 3.06
V (0.4277, 0.4277, 0.1447)  1 V 1.91
V (0.5723, 0.5723, 0.8553)  1 V 1.91


# 6
A relaxed structure of La6Tc2PCl3, computed with PBE.

- space-group type = C2/m, No. 12
- total moment (μB/cell) = 0.000
- total DFT energy (no corrections) (eV per formula unit) = -73.9

a b c (Å): 7.3139 7.3139 7.8336
angles (deg): 98.92 98.92 119.99
With the nearest neighbours (Å) after each atom.
Fractional coordinates of all 12 atoms:
La (0.9317, 0.5838, 0.7933)  2 Tc 2.84, 1 P 2.97
La (0.7210, 0.7210, 0.2072)  2 Tc 2.84, 1 P 2.98
La (0.0683, 0.4162, 0.2067)  2 Tc 2.84, 1 P 2.97
La (0.5838, 0.9317, 0.7933)  2 Tc 2.84, 1 P 2.97
La (0.2790, 0.2790, 0.7928)  2 Tc 2.84, 1 P 2.98
La (0.4162, 0.0683, 0.2067)  2 Tc 2.84, 1 P 2.97
Tc (0.3335, 0.6665, 0.0000)  6 La 2.84
Tc (0.6665, 0.3335, 0.0000)  6 La 2.84
P (0.0000, 0.0000, 0.0000)  6 La 2.97-2.98
Cl (0.1668, 0.8332, 0.5000)  6 La 3.20-3.31
Cl (0.8332, 0.1668, 0.5000)  6 La 3.20-3.31
Cl (0.5000, 0.5000, 0.5000)  6 La 3.19-3.32


| no. | V (Å³/f.u.) |
| --- | --- |
| 1 | 124 |
| 2 | 114 |
| 3 | 165 |
| 4 | 343 |
| 5 | 102 |
| 6 | 345 |